1.
PaCrSe3 | PBE | relaxed

Values from the calculation:
Calculated density: 8.283 g cm⁻³
DOS at the Fermi energy: 0.9011 states/eV/atom
Offset from the most stable computed form: 90.3 meV per atom
Total energy: -6.73 eV per atom
Magnetization: 0.8 μB per formula unit
Formation energy without anion corrections: -394 kJ/mol of formula units

The structure in CIF format:
```
data_PaCrSe3
_chemical_formula_sum 'Pa2 Cr2 Se6'
_cell_length_a 6.892
_cell_length_b 3.872
_cell_length_c 7.873
_cell_angle_alpha 90.00
_cell_angle_beta 97.16
_cell_angle_gamma 90.00
_space_group_name_H-M_alt 'P 1 21/m 1'
_space_group_IT_number 11
loop_
_space_group_symop_operation_xyz
'x,y,z'
'-x,-y,-z'
'-x,y+1/2,-z'
'x,-y+1/2,z'
loop_
_atom_site_label
_atom_site_type_symbol
_atom_site_fract_x
_atom_site_fract_y
_atom_site_fract_z
Pa1 Pa 0.122 0.250 0.280
Cr1 Cr 0.380 0.750 0.875
Se1 Se 0.144 0.250 0.897
Se2 Se 0.229 0.750 0.553
Se3 Se 0.420 0.750 0.182
```

2.
CrGeSe4 | PBE | relaxed

Values from the calculation:
Calculated density: 5.317 g cm⁻³
DOS at the Fermi energy: 0.5868 states/eV/atom
Offset from the most stable computed form: 0.0 meV per atom
Total energy: -4.99 eV per atom
Magnetization: 2.2 μB per formula unit
Formation energy without anion corrections: -169 kJ/mol of formula units

The structure in CIF format:
```
data_CrGeSe4
_chemical_formula_sum 'Cr2 Ge2 Se8'
_cell_length_a 12.351
_cell_length_b 3.490
_cell_length_c 6.459
_cell_angle_alpha 90.00
_cell_angle_beta 98.80
_cell_angle_gamma 90.00
_space_group_name_H-M_alt 'C 1 2/m 1'
_space_group_IT_number 12
loop_
_space_group_symop_operation_xyz
'x,y,z'
'-x,-y,-z'
'-x,y,-z'
'x,-y,z'
'x+1/2,y+1/2,z'
'-x+1/2,-y+1/2,-z'
'-x+1/2,y+1/2,-z'
'x+1/2,-y+1/2,z'
loop_
_atom_site_label
_atom_site_type_symbol
_atom_site_fract_x
_atom_site_fract_y
_atom_site_fract_z
Cr1 Cr 0.000 0.000 0.000
Ge1 Ge 0.000 0.500 0.500
Se1 Se 0.118 0.500 0.868
Se2 Se 0.120 0.000 0.345
```

3.
MgZn12Ag7 | PBE | relaxed

Values from the calculation:
Calculated density: 7.543 g cm⁻³
DOS at the Fermi energy: 0.2715 states/eV/atom
Total energy: -1.80 eV per atom
Energy relative to the elements: 0.04 eV/atom
Magnetization: 0.0 μB per formula unit

The structure in CIF format:
```
data_MgZn12Ag7
_chemical_formula_sum 'Mg3 Zn36 Ag21'
_cell_length_a 13.4133
_cell_length_b 13.4133
_cell_length_c 6.6301
_cell_angle_alpha 90.00
_cell_angle_beta 90.00
_cell_angle_gamma 120.00
_space_group_name_H-M_alt 'R -3'
_space_group_IT_number 148
_space_group_name_Hall '-R 3'
loop_
_atom_site_label
_atom_site_type_symbol
_atom_site_fract_x
_atom_site_fract_y
_atom_site_fract_z
Mg1 Mg 0.0000 0.0000 0.0000
Zn1 Zn 0.0221 0.6335 0.7458
Zn2 Zn 0.1042 0.8823 0.3588
Ag1 Ag 0.0000 0.0000 0.5000
Ag2 Ag 0.0941 0.8822 0.7876
```

4.
Cs3PuPa2O9 | PBE | relaxed

Values from the calculation:
Calculated density: 7.950 g cm⁻³
DOS at the Fermi energy: 0.6906 states/eV/atom
Total energy: -8.21 eV per atom
Magnetization: 3.0 μB per formula unit
Formation energy without anion corrections: -4113 kJ/mol of formula units

The structure in CIF format:
```
data_Cs3PuPa2O9
_chemical_formula_sum 'Cs3 Pu1 Pa2 O9'
_cell_length_a 6.2643
_cell_length_b 6.2643
_cell_length_c 7.6752
_cell_angle_alpha 90.00
_cell_angle_beta 90.00
_cell_angle_gamma 120.00
_space_group_name_H-M_alt 'P -3 m 1'
_space_group_IT_number 164
_space_group_name_Hall '-P 3 2"'
loop_
_atom_site_label
_atom_site_type_symbol
_atom_site_fract_x
_atom_site_fract_y
_atom_site_fract_z
Cs1 Cs 0.0000 0.0000 0.0000
Cs2 Cs 0.3333 0.6667 0.6659
Pu1 Pu 0.0000 0.0000 0.5000
Pa1 Pa 0.3333 0.6667 0.1690
O1 O 0.0000 0.5000 0.0000
O2 O 0.1655 0.3310 0.3352
```